1.
# Ba14Na14LiN6 (SCAN, PBEsol geometry)
data_Ba14Na14LiN6
_cell_length_a 17.4995
_cell_length_b 17.4995
_cell_length_c 17.4995
_cell_angle_alpha 90.00
_cell_angle_beta 90.00
_cell_angle_gamma 90.00
_space_group_name_H-M_alt 'F m -3 m'
_space_group_IT_number 225
_space_group_name_Hall '-F 4 2 3'
loop_
_atom_site_label
_atom_site_fract_x
_atom_site_fract_y
_atom_site_fract_z
Ba1 0.0000 0.0000 0.2097
Ba2 0.1040 0.1040 0.3960
Na1 0.0000 0.2500 0.2500
Na2 0.1714 0.1714 0.1714
Li1 0.0000 0.0000 0.5000
N1 0.0000 0.0000 0.3517
# D(E_F)   54.9 states/eV per cell
# Energy relative to the elements, uncorrected   -30.1 kJ/mol of atoms


2.
# HgBiS2Cl (SCAN, PBEsol geometry)
data_HgBiS2Cl
_cell_length_a 5.1927
_cell_length_b 5.1927
_cell_length_c 5.2428
_cell_angle_alpha 90.00
_cell_angle_beta 90.00
_cell_angle_gamma 90.00
_space_group_name_H-M_alt 'P 4/m m m'
_space_group_IT_number 123
_space_group_name_Hall '-P 4 2'
loop_
_atom_site_label
_atom_site_fract_x
_atom_site_fract_y
_atom_site_fract_z
Hg1 0.0000 0.0000 0.0000
Bi1 0.5000 0.5000 0.5000
S1 0.0000 0.5000 0.5000
Cl1 0.5000 0.5000 0.0000
# D(E_F)   3.6 states/eV per cell
# Energy relative to the elements, uncorrected   20.7 kJ/mol of atoms


3.
# TaAs2P (SCAN, PBEsol geometry)
data_TaAs2P
_cell_length_a 8.4303
_cell_length_b 3.3566
_cell_length_c 5.3811
_cell_angle_alpha 90.00
_cell_angle_beta 93.52
_cell_angle_gamma 90.00
_space_group_name_H-M_alt 'C 1 m 1'
_space_group_IT_number 8
_space_group_name_Hall 'C -2y'
loop_
_atom_site_label
_atom_site_fract_x
_atom_site_fract_y
_atom_site_fract_z
Ta1 0.0000 0.0000 0.0000
As1 0.0044 0.5000 0.3723
As2 0.3005 0.0000 0.7266
P1 0.2152 0.5000 0.0785
# Energy   -29.437 eV/atom
# D(E_F)   2.5 states/eV per cell


4.
# Sr2Cu2O5 (SCAN, PBEsol geometry)
data_Sr2Cu2O5
_cell_length_a 15.5252
_cell_length_b 5.4394
_cell_length_c 5.4577
_cell_angle_alpha 90.00
_cell_angle_beta 90.00
_cell_angle_gamma 90.00
_space_group_name_H-M_alt 'I m a 2'
_space_group_IT_number 46
_space_group_name_Hall 'I 2 -2a'
loop_
_atom_site_label
_atom_site_fract_x
_atom_site_fract_y
_atom_site_fract_z
Sr1 0.1095 0.0029 0.0000
Cu1 0.0000 0.0000 0.4988
Cu2 0.2500 0.5544 0.0209
O1 0.0032 0.7479 0.2517
O2 0.1362 0.0277 0.4888
O3 0.2500 0.6456 0.3429
# Relative energy among the computed polymorphs   0.528 eV per formula unit
# D(E_F)   8.9 states/eV per cell
# Energy relative to the elements, uncorrected   -167.8 kJ/mol of atoms


> What is the D(E_F) in the fourth record?

8.9 states/eV per cell


> D(E_F) of number 3 (TaAs2P)?

2.5 states/eV per cell